The following is a DFT calculation (PBE) of a relaxed Tl2Ni crystal.

Computed properties:
Energy of formation, kJ per mole of atoms: 22.42
Symmetry: Cm

Cell: 5.1038 5.1038 8.7576 Å, 83.81 83.81 37.79°
Positions (direct):
1 Ni 0.3766 0.3766 0.2591
2 Tl 0.6009 0.6009 0.7596
3 Ni 0.0106 0.0106 0.0710
4 Tl 0.6501 0.6501 0.2627
5 Tl 0.3092 0.3092 0.9648
6 Tl 0.8859 0.8859 0.5162

=====

The following is a DFT calculation (PBE) of a relaxed TaTiS2 crystal.

Computed properties:
ΔE to the lowest computed polymorph, eV/atom: 0.276
ΔE_f (raw), eV/f.u.: -1.9
Symmetry: I-42d

Cell: 5.5317 5.5317 6.6057 Å, 65.25 65.25 90.00°
Site moments in Bohr magnetons follow the coordinates.
Positions (direct):
1 S 0.3750 0.3793 0.7500  -0.01
2 S 0.1293 0.6250 0.2500  -0.01
3 S 0.6207 0.1250 0.2500  -0.01
4 Ti 0.2500 0.7500 0.5000  0.38
5 Ta 0.0000 0.0000 0.0000  0.24
6 Ti 0.5000 0.5000 0.0000  0.38
7 Ta 0.7500 0.2500 0.5000  0.25
8 S 0.8750 0.8707 0.7500  -0.01

=====

The following is a DFT calculation (PBE) of a relaxed CaMgPb2O6 crystal.

Computed properties:
ΔE_f (raw), eV/f.u.: -16.7
Symmetry: R3

Cell: 5.6516 5.6517 5.9498 Å, 61.64 61.64 60.00°
Positions (direct):
1 Mg 0.3154 0.3154 0.0540
2 O 0.6070 0.2234 0.2426
3 O 0.7048 0.1420 0.7598
4 O 0.1420 0.3935 0.7598
5 O 0.3935 0.7048 0.7598
6 Ca 0.8032 0.8032 0.5905
7 Pb 0.0203 0.0203 0.9391
8 O 0.2234 0.9269 0.2426
9 O 0.9269 0.6070 0.2426
10 Pb 0.5252 0.5252 0.4244

=====

The following is a DFT calculation (PBE) of a relaxed NaErPb4 crystal.

Computed properties:
ΔE to the lowest computed polymorph, eV/atom: 0.098
Energy of formation, kJ per mole of atoms: -5.15
Symmetry: F-43m

Cell: 6.4531 6.4531 6.4531 Å, 60.00 60.00 60.00°
Positions (direct):
1 Na 0.2500 0.2500 0.2500
2 Er 0.0000 0.0000 0.0000
3 Pb 0.1229 0.6257 0.6257
4 Pb 0.6257 0.6257 0.1229
5 Pb 0.6257 0.6257 0.6257
6 Pb 0.6257 0.1229 0.6257

=====

The following is a DFT calculation (PBE) of a relaxed Sc3Ag4Pd2 crystal.

Computed properties:
Energy of formation, kJ per mole of atoms: -42.32
Symmetry: C2/c

Cell: 5.0706 8.3261 8.3261 Å, 72.23 82.40 82.40°
Positions (direct):
1 Pd 0.8207 0.2595 0.5186
2 Ag 0.1250 0.6019 0.8408
3 Pd 0.6793 0.4814 0.7405
4 Ag 0.0253 0.8169 0.0727
5 Pd 0.3207 0.5186 0.2595
6 Ag 0.4747 0.9273 0.1831
7 Ag 0.3750 0.1592 0.3981
8 Sc 0.5758 0.6995 0.9642
9 Sc 0.4242 0.3005 0.0358
10 Sc 0.9242 0.0358 0.3005
11 Sc 0.7500 0.6118 0.3882
12 Ag 0.5253 0.0727 0.8169
13 Ag 0.6250 0.8408 0.6019
14 Sc 0.0758 0.9642 0.6995
15 Pd 0.1793 0.7405 0.4814
16 Sc 0.2500 0.3882 0.6118
17 Ag 0.8750 0.3981 0.1592
18 Ag 0.9747 0.1831 0.9273

=====

The following is a DFT calculation (PBE) of a relaxed NaTlNO crystal.

Computed properties:
ΔE to the lowest computed polymorph, eV/atom: 0.225
ΔE_f (raw), eV/f.u.: 0.4
Symmetry: Pmm2

Cell: 3.5334 3.6896 5.7333 Å, 90.00 90.00 90.00°
Site moments in Bohr magnetons follow the coordinates.
Positions (direct):
1 Tl 0.5000 0.5000 0.4347  -0.01
2 N 0.5000 0.0000 0.6571  0.63
3 O 0.0000 0.5000 0.1993  0.04
4 Na 0.0000 0.0000 0.9645  0.01

=====

The following is a DFT calculation (PBE) of a relaxed Y2Tm6Cd crystal.

Computed properties:
Energy of formation, kJ per mole of atoms: -0.63
Symmetry: P4_2/mnm

Cell: 4.9063 10.4020 10.4022 Å, 90.00 90.00 90.00°
Positions (direct):
1 Tm 0.5000 0.5021 0.6655
2 Tm 0.0000 0.9979 0.1655
3 Y 0.4999 0.1605 0.3392
4 Y 0.0001 0.6605 0.1608
5 Cd 0.5000 0.5000 0.0000
6 Tm 0.9999 0.3345 0.5018
7 Tm 0.5000 0.4979 0.3345
8 Tm 0.5001 0.8317 0.3320
9 Tm 0.5001 0.8345 0.9982
10 Cd 0.0000 0.0000 0.5000
11 Tm 0.9999 0.3317 0.1680
12 Tm 0.0001 0.6683 0.8320
13 Tm 0.0000 0.0021 0.8345
14 Tm 0.4999 0.1683 0.6680
15 Y 0.5001 0.8395 0.6608
16 Tm 0.0001 0.6655 0.4982
17 Y 0.9999 0.3395 0.8392
18 Tm 0.4999 0.1655 0.0018

=====

The following is a DFT calculation (PBE) of a relaxed TaSiSb2 crystal.

Computed properties:
ΔE_f (raw), eV/f.u.: 2.9
Symmetry: I-42d

Cell: 6.3389 6.3389 7.5420 Å, 65.15 65.15 90.00°
Site moments in Bohr magnetons follow the coordinates.
Positions (direct):
1 Sb 0.1316 0.6250 0.2500  -0.02
2 Ta 0.0000 0.0000 0.0000  0.55
3 Si 0.5000 0.5000 0.0000  0.02
4 Sb 0.3750 0.3816 0.7500  -0.02
5 Sb 0.8750 0.8684 0.7500  -0.02
6 Ta 0.7500 0.2500 0.5000  0.54
7 Sb 0.6184 0.1250 0.2500  -0.02
8 Si 0.2500 0.7500 0.5000  0.02

=====

Looking at V for the records above, in order, we have 23.15; 20.36; 13.76; 31.67; 18.35; 18.69; 29.49; 30.47 A^3/atom.
Looking at final energy for the records above, in order, we have -3.27; -7.48; -5.74; -3.51; -4.97; -4.14; -4.53; -5.65 eV/atom.